[1]
Entry from Alexandria: a geometry-optimized Ce4IrPb structure (GGA-PBE).

Cell: 8.184 14.318 5.858 Å, 90.00 111.56 90.00°
Space group C2/c (No. 15)
One atom of each set of equivalent atoms:
Ce 0.085 0.190 0.087
Ce 0.212 0.422 0.349
Ir 0.000 0.014 0.750
Pb 0.000 0.378 0.750

- total magnetic moment (μB per cell) = 5.74
- energy of formation (meV/atom) = -387
- offset from the most stable computed form (meV/atom) = 24

***

[2]
Entry from Alexandria: a geometry-optimized CdNiPb structure (GGA-PBE).

Cell: 3.3524 3.3524 6.6004 Å, 90.00 90.00 120.00°
Space group P3m1 (No. 156)
One atom of each set of equivalent atoms:
Cd 0.0000 0.0000 0.0000
Ni 0.6667 0.3333 0.2832
Pb 0.3333 0.6667 0.5716

- total magnetic moment (μB per cell) = 0.00
- energy of formation (meV/atom) = 222
- offset from the most stable computed form (meV/atom) = 133

***

[3]
Entry from Alexandria: a geometry-optimized TaGaCo2H structure (GGA-PBE).

Cell: 2.781 11.718 6.833 Å, 90.00 90.00 90.00°
Space group Cmcm (No. 63)
One atom of each set of equivalent atoms:
Ta 0.000 0.023 0.250
Ga 0.000 0.259 0.750
Co 0.000 0.364 0.050
H 0.000 0.500 0.000

- total magnetic moment (μB per cell) = 0.00
- offset from the most stable computed form (meV/atom) = 0